No. 1
PBE NbSe, relaxed; symmetry = Pm-3n, No. 223; energy = -6.587 eV/atom; total magnetization = 0.0 μB/f.u.
1.0
7.1136 0.0000 0.0000
0.0000 7.1136 0.0000
0.0000 0.0000 7.1136
Nb Se
6 6
direct
0.0000 0.2500 0.5000 Nb
0.0000 0.7500 0.5000 Nb
0.2500 0.5000 0.0000 Nb
0.5000 0.0000 0.2500 Nb
0.5000 0.0000 0.7500 Nb
0.7500 0.5000 0.0000 Nb
0.0000 0.5000 0.2500 Se
0.0000 0.5000 0.7500 Se
0.2500 0.0000 0.5000 Se
0.5000 0.2500 0.0000 Se
0.5000 0.7500 0.0000 Se
0.7500 0.0000 0.5000 Se

=====

No. 2
PBE NbSiSe3, relaxed; symmetry = Pm-3m, No. 221; total magnetization = 0.6 μB/f.u.; energy above the lowest structure with this stoichiometry = 779 meV per atom
1.0
5.0410 0.0000 0.0000
0.0000 5.0410 0.0000
0.0000 0.0000 5.0410
Nb Si Se
1 1 3
direct
0.0000 0.0000 0.0000 Nb
0.5000 0.5000 0.5000 Si
0.0000 0.0000 0.5000 Se
0.0000 0.5000 0.0000 Se
0.5000 0.0000 0.0000 Se

=====

No. 3
PBE Nb2Si2Se, relaxed; symmetry = P4/mbm, No. 127; energy = -7.245 eV/atom; total magnetization = 0.0 μB/f.u.
1.0
7.0290 0.0000 0.0000
0.0000 7.0290 0.0000
0.0000 0.0000 3.4596
Nb Si Se
4 4 2
direct
0.1648 0.3352 0.0000 Nb
0.3352 0.8352 0.0000 Nb
0.6648 0.1648 0.0000 Nb
0.8352 0.6648 0.0000 Nb
0.1247 0.6247 0.5000 Si
0.3753 0.1247 0.5000 Si
0.6247 0.8753 0.5000 Si
0.8753 0.3753 0.5000 Si
0.0000 0.0000 0.0000 Se
0.5000 0.5000 0.0000 Se